[1]
{
  "formula": "CaMgTe2",
  "functional": "meta-GGA SCAN",
  "state": "PBEsol geometry",
  "lattice_angstrom": [[-2.221, 3.260, 4.015], [2.221, -3.260, 4.015], [2.221, 3.260, -4.015]],
  "species": ["Ca", "Mg", "Te", "Te"],
  "fractional_positions": [[0.000, 0.000, 0.000], [0.500, 0.500, 0.000], [0.274, 0.774, 0.500], [0.726, 0.226, 0.500]],
  "e_form_raw_ev_per_atom": -1.01,
  "space_group": "No. 71",
  "dft_energy_ev_per_cell": -93.2,
  "volume_a3_per_cell": 116
}

[2]
{
  "formula": "CaMg2ZnTe",
  "functional": "meta-GGA SCAN",
  "state": "PBEsol geometry",
  "lattice_angstrom": [[5.472, 0.000, 0.000], [0.000, 5.472, 0.000], [0.000, 0.000, 5.367]],
  "species": ["Ca", "Mg", "Mg", "Zn", "Te"],
  "fractional_positions": [[0.000, 0.000, 0.000], [0.000, 0.500, 0.500], [0.500, 0.000, 0.500], [0.500, 0.500, 0.000], [0.500, 0.500, 0.500]],
  "e_form_raw_ev_per_atom": 0.28,
  "space_group": "No. 123",
  "dft_energy_ev_per_cell": -69.0,
  "volume_a3_per_cell": 161
}

[3]
{
  "formula": "CaMg2Tl2",
  "functional": "meta-GGA SCAN",
  "state": "PBEsol geometry",
  "lattice_angstrom": [[8.611, 0.000, 0.000], [0.000, 8.611, 0.000], [0.000, 0.000, 3.486]],
  "species": ["Ca", "Ca", "Mg", "Mg", "Mg", "Mg", "Tl", "Tl", "Tl", "Tl"],
  "fractional_positions": [[0.000, 0.000, 0.000], [0.500, 0.500, 0.000], [0.142, 0.358, 0.500], [0.358, 0.858, 0.500], [0.642, 0.142, 0.500], [0.858, 0.642, 0.500], [0.155, 0.655, 0.000], [0.345, 0.155, 0.000], [0.655, 0.845, 0.000], [0.845, 0.345, 0.000]],
  "relative_energy_ev_per_atom": 0.087,
  "delta_e_f_ev_per_fu": -1.3,
  "space_group": "No. 127",
  "dft_energy_ev_per_cell": -331.4,
  "volume_a3_per_cell": 258
}

[4]
{
  "formula": "Ca2MgTl",
  "functional": "meta-GGA SCAN",
  "state": "PBEsol geometry",
  "lattice_angstrom": [[-1.854, 2.765, 5.728], [1.854, -2.765, 5.728], [1.854, 2.765, -5.728]],
  "species": ["Ca", "Ca", "Mg", "Tl"],
  "fractional_positions": [[0.000, 0.000, 0.000], [0.708, 0.208, 0.500], [0.267, 0.767, 0.500], [0.471, 0.471, 0.000]],
  "relative_energy_ev_per_atom": 0.085,
  "delta_e_f_ev_per_fu": -1.3,
  "space_group": "No. 44",
  "dft_energy_ev_per_cell": -97.9,
  "volume_a3_per_cell": 117
}

[5]
{
  "formula": "Ca2MgTl",
  "functional": "meta-GGA SCAN",
  "state": "PBEsol geometry",
  "lattice_angstrom": [[0.000, 3.835, 3.835], [3.835, 0.000, 3.835], [3.835, 3.835, 0.000]],
  "species": ["Ca", "Ca", "Mg", "Tl"],
  "fractional_positions": [[0.250, 0.250, 0.250], [0.750, 0.750, 0.750], [0.000, 0.000, 0.000], [0.500, 0.500, 0.500]],
  "relative_energy_ev_per_atom": 0.000,
  "delta_e_f_ev_per_fu": -1.6,
  "space_group": "No. 225",
  "dft_energy_ev_per_cell": -98.3,
  "volume_a3_per_cell": 113
}

[6]
{
  "formula": "CaMgTl",
  "functional": "meta-GGA SCAN",
  "state": "PBEsol geometry",
  "lattice_angstrom": [[5.017, 0.000, 0.000], [-2.508, 4.344, 0.000], [0.000, 0.000, 3.659]],
  "species": ["Ca", "Mg", "Tl"],
  "fractional_positions": [[0.000, 0.000, 0.000], [0.333, 0.667, 0.500], [0.667, 0.333, 0.500]],
  "delta_e_f_ev_per_fu": -1.2,
  "space_group": "No. 187",
  "dft_energy_ev_per_cell": -88.2,
  "volume_a3_per_cell": 80
}

[7]
{
  "formula": "Ca2MgTl",
  "functional": "meta-GGA SCAN",
  "state": "PBEsol geometry",
  "lattice_angstrom": [[5.447, 0.000, 0.000], [0.000, 5.447, 0.000], [0.000, 0.000, 3.816]],
  "species": ["Ca", "Ca", "Mg", "Tl"],
  "fractional_positions": [[0.000, 0.500, 0.000], [0.500, 0.000, 0.000], [0.000, 0.000, 0.500], [0.500, 0.500, 0.500]],
  "relative_energy_ev_per_atom": 0.009,
  "delta_e_f_ev_per_fu": -1.6,
  "space_group": "No. 123",
  "dft_energy_ev_per_cell": -98.2,
  "volume_a3_per_cell": 113
}

[8]
{
  "formula": "CaMgTl2",
  "functional": "meta-GGA SCAN",
  "state": "PBEsol geometry",
  "lattice_angstrom": [[-2.146, 2.416, 5.086], [2.146, -2.416, 5.086], [2.146, 2.416, -5.086]],
  "species": ["Ca", "Mg", "Tl", "Tl"],
  "fractional_positions": [[0.000, 0.000, 0.000], [0.742, 0.242, 0.500], [0.254, 0.754, 0.500], [0.503, 0.503, 0.000]],
  "relative_energy_ev_per_atom": 0.128,
  "delta_e_f_ev_per_fu": -1.2,
  "space_group": "No. 44",
  "dft_energy_ev_per_cell": -160.6,
  "volume_a3_per_cell": 106
}